[1]
# PBE KLuTl, optimized geometry
data_KLuTl
_chemical_formula_sum 'K4 Lu4 Tl4'
_cell_length_a 7.734
_cell_length_b 7.734
_cell_length_c 7.734
_cell_angle_alpha 90.00
_cell_angle_beta 90.00
_cell_angle_gamma 90.00
_space_group_name_H-M_alt 'P 1'
_space_group_IT_number 1
loop_
_space_group_symop_operation_xyz
'x,y,z'
loop_
_atom_site_label
_atom_site_fract_x
_atom_site_fract_y
_atom_site_fract_z
K1 0.000 0.000 0.000
K2 0.000 0.500 0.500
K3 0.500 0.000 0.500
K4 0.500 0.500 0.000
Lu1 0.000 0.000 0.500
Lu2 0.000 0.500 0.000
Lu3 0.500 0.000 0.000
Lu4 0.500 0.500 0.500
Tl1 0.250 0.250 0.250
Tl2 0.250 0.750 0.750
Tl3 0.750 0.250 0.750
Tl4 0.750 0.750 0.250
# **Size of the total moment**: 0.327 μB per atom
# **Calculated volume**: 462.6 Å³ per cell
# **Symmetry**: No. 216
# **E above lowest polymorph**: 0 meV/atom


[2]
# PBE NbFePbAu, optimized geometry
data_NbFePbAu
_chemical_formula_sum 'Nb4 Fe4 Pb4 Au4'
_cell_length_a 6.585
_cell_length_b 6.585
_cell_length_c 6.585
_cell_angle_alpha 90.00
_cell_angle_beta 90.00
_cell_angle_gamma 90.00
_space_group_name_H-M_alt 'P 1'
_space_group_IT_number 1
loop_
_space_group_symop_operation_xyz
'x,y,z'
loop_
_atom_site_label
_atom_site_fract_x
_atom_site_fract_y
_atom_site_fract_z
Nb1 0.000 0.000 0.000
Nb2 0.000 0.500 0.500
Nb3 0.500 0.000 0.500
Nb4 0.500 0.500 0.000
Fe1 0.250 0.250 0.750
Fe2 0.250 0.750 0.250
Fe3 0.750 0.250 0.250
Fe4 0.750 0.750 0.750
Pb1 0.000 0.000 0.500
Pb2 0.000 0.500 0.000
Pb3 0.500 0.000 0.000
Pb4 0.500 0.500 0.500
Au1 0.250 0.250 0.250
Au2 0.250 0.750 0.750
Au3 0.750 0.250 0.750
Au4 0.750 0.750 0.250
# **Size of the total moment**: 0.273 μB per atom
# **Calculated volume**: 285.5 Å³ per cell
# **Symmetry**: No. 216
# **E above lowest polymorph**: 35 meV/atom


[3]
# PBE Zr4Ta2P3N3, optimized geometry
data_Zr4Ta2P3N3
_chemical_formula_sum 'Zr8 Ta4 P6 N6'
_cell_length_a 5.810
_cell_length_b 5.810
_cell_length_c 12.357
_cell_angle_alpha 103.59
_cell_angle_beta 103.59
_cell_angle_gamma 60.00
_space_group_name_H-M_alt 'P 1'
_space_group_IT_number 1
loop_
_space_group_symop_operation_xyz
'x,y,z'
loop_
_atom_site_label
_atom_site_fract_x
_atom_site_fract_y
_atom_site_fract_z
Zr1 0.033 0.202 0.103
Zr2 0.133 0.299 0.397
Zr3 0.202 0.033 0.603
Zr4 0.299 0.133 0.897
Zr5 0.701 0.867 0.103
Zr6 0.798 0.967 0.397
Zr7 0.867 0.701 0.603
Zr8 0.967 0.798 0.897
Ta1 0.368 0.532 0.093
Ta2 0.468 0.632 0.407
Ta3 0.532 0.368 0.593
Ta4 0.632 0.468 0.907
P1 0.104 0.896 0.250
P2 0.272 0.417 0.750
P3 0.417 0.272 0.250
P4 0.583 0.728 0.750
P5 0.728 0.583 0.250
P6 0.896 0.104 0.750
N1 0.000 0.500 0.000
N2 0.165 0.667 0.500
N3 0.333 0.835 0.000
N4 0.500 0.000 0.500
N5 0.667 0.165 0.000
N6 0.835 0.333 0.500
# **Size of the total moment**: 0.000 μB per atom
# **Calculated volume**: 347.6 Å³ per cell
# **Symmetry**: No. 15
# **E_tot**: -9.50 eV per atom


[4]
# PBE CoAgBiAu, optimized geometry
data_CoAgBiAu
_chemical_formula_sum 'Co4 Ag4 Bi4 Au4'
_cell_length_a 6.689
_cell_length_b 6.689
_cell_length_c 6.689
_cell_angle_alpha 90.00
_cell_angle_beta 90.00
_cell_angle_gamma 90.00
_space_group_name_H-M_alt 'P 1'
_space_group_IT_number 1
loop_
_space_group_symop_operation_xyz
'x,y,z'
loop_
_atom_site_label
_atom_site_fract_x
_atom_site_fract_y
_atom_site_fract_z
Co1 0.000 0.000 0.000
Co2 0.000 0.500 0.500
Co3 0.500 0.000 0.500
Co4 0.500 0.500 0.000
Ag1 0.000 0.000 0.500
Ag2 0.000 0.500 0.000
Ag3 0.500 0.000 0.000
Ag4 0.500 0.500 0.500
Bi1 0.250 0.250 0.750
Bi2 0.250 0.750 0.250
Bi3 0.750 0.250 0.250
Bi4 0.750 0.750 0.750
Au1 0.250 0.250 0.250
Au2 0.250 0.750 0.750
Au3 0.750 0.250 0.750
Au4 0.750 0.750 0.250
# **Size of the total moment**: 0.295 μB per atom
# **Calculated volume**: 299.3 Å³ per cell
# **Symmetry**: No. 216
# **E above lowest polymorph**: 0 meV/atom


[5]
# PBE MgTaCuGe, optimized geometry
data_MgTaCuGe
_chemical_formula_sum 'Mg4 Ta4 Cu4 Ge4'
_cell_length_a 6.372
_cell_length_b 6.372
_cell_length_c 6.372
_cell_angle_alpha 90.00
_cell_angle_beta 90.00
_cell_angle_gamma 90.00
_space_group_name_H-M_alt 'P 1'
_space_group_IT_number 1
loop_
_space_group_symop_operation_xyz
'x,y,z'
loop_
_atom_site_label
_atom_site_fract_x
_atom_site_fract_y
_atom_site_fract_z
Mg1 0.000 0.000 0.000
Mg2 0.000 0.500 0.500
Mg3 0.500 0.000 0.500
Mg4 0.500 0.500 0.000
Ta1 0.250 0.250 0.250
Ta2 0.250 0.750 0.750
Ta3 0.750 0.250 0.750
Ta4 0.750 0.750 0.250
Cu1 0.250 0.250 0.750
Cu2 0.250 0.750 0.250
Cu3 0.750 0.250 0.250
Cu4 0.750 0.750 0.750
Ge1 0.000 0.000 0.500
Ge2 0.000 0.500 0.000
Ge3 0.500 0.000 0.000
Ge4 0.500 0.500 0.500
# **Size of the total moment**: 0.045 μB per atom
# **Calculated volume**: 258.7 Å³ per cell
# **Symmetry**: No. 216
# **E above lowest polymorph**: 0 meV/atom


[6]
# PBE NbFe3, optimized geometry
data_NbFe3
_chemical_formula_sum 'Nb2 Fe6'
_cell_length_a 3.554
_cell_length_b 3.554
_cell_length_c 8.240
_cell_angle_alpha 90.00
_cell_angle_beta 90.00
_cell_angle_gamma 90.00
_space_group_name_H-M_alt 'P 1'
_space_group_IT_number 1
loop_
_space_group_symop_operation_xyz
'x,y,z'
loop_
_atom_site_label
_atom_site_fract_x
_atom_site_fract_y
_atom_site_fract_z
Nb1 0.000 0.000 0.000
Nb2 0.500 0.500 0.500
Fe1 0.000 0.000 0.500
Fe2 0.000 0.500 0.250
Fe3 0.000 0.500 0.750
Fe4 0.500 0.000 0.250
Fe5 0.500 0.000 0.750
Fe6 0.500 0.500 0.000
# **Size of the total moment**: 1.414 μB per atom
# **Formation enthalpy at 0 K**: 0.03 eV per atom
# **Calculated volume**: 104.1 Å³ per cell
# **Symmetry**: No. 139


[7]
# PBE Mg2Sc2ZnAg2Au, optimized geometry
data_Mg2Sc2ZnAg2Au
_chemical_formula_sum 'Mg2 Sc2 Zn1 Ag2 Au1'
_cell_length_a 4.731
_cell_length_b 4.731
_cell_length_c 6.735
_cell_angle_alpha 90.00
_cell_angle_beta 90.00
_cell_angle_gamma 90.00
_space_group_name_H-M_alt 'P 1'
_space_group_IT_number 1
loop_
_space_group_symop_operation_xyz
'x,y,z'
loop_
_atom_site_label
_atom_site_fract_x
_atom_site_fract_y
_atom_site_fract_z
Mg1 0.000 0.500 0.249
Mg2 0.500 0.000 0.751
Sc1 0.000 0.500 0.749
Sc2 0.500 0.000 0.251
Zn1 0.500 0.500 0.000
Ag1 0.000 0.000 0.000
Ag2 0.500 0.500 0.500
Au1 0.000 0.000 0.500
# **Size of the total moment**: 0.000 μB per atom
# **Calculated volume**: 150.7 Å³ per cell
# **Symmetry**: No. 115
# **E_tot**: -3.66 eV per atom


[8]
# PBE LiTmSb, optimized geometry
data_LiTmSb
_chemical_formula_sum 'Li4 Tm4 Sb4'
_cell_length_a 6.838
_cell_length_b 6.838
_cell_length_c 6.838
_cell_angle_alpha 90.00
_cell_angle_beta 90.00
_cell_angle_gamma 90.00
_space_group_name_H-M_alt 'P 1'
_space_group_IT_number 1
loop_
_space_group_symop_operation_xyz
'x,y,z'
loop_
_atom_site_label
_atom_site_fract_x
_atom_site_fract_y
_atom_site_fract_z
Li1 0.000 0.000 0.000
Li2 0.000 0.500 0.500
Li3 0.500 0.000 0.500
Li4 0.500 0.500 0.000
Tm1 0.000 0.000 0.500
Tm2 0.000 0.500 0.000
Tm3 0.500 0.000 0.000
Tm4 0.500 0.500 0.500
Sb1 0.250 0.250 0.750
Sb2 0.250 0.750 0.250
Sb3 0.750 0.250 0.250
Sb4 0.750 0.750 0.750
# **Size of the total moment**: 0.001 μB per atom
# **Calculated volume**: 319.7 Å³ per cell
# **Symmetry**: No. 216
# **E above lowest polymorph**: 0 meV/atom